# 1
An optimized crystal structure of Rb4TiBr5, computed with GGA-PBE.

```
Rb4TiBr5
1.0
6.946 0.000 0.000
3.473 7.486 0.000
3.473 0.000 7.486
Br Ti Rb
5 1 4
Direct
0.260 0.828 0.661
0.749 0.172 0.339
0.087 0.661 0.172
0.921 0.339 0.828
0.438 0.000 0.000
0.039 0.000 0.000
0.801 0.797 0.609
0.410 0.391 0.797
0.598 0.609 0.203
0.207 0.203 0.391
```

## Properties
Fermi-level density of states in states/eV/f.u.: 9.32

=====

# 2
An optimized crystal structure of Rb2TiBr, computed with GGA-PBE.

```
Rb2TiBr
1.0
4.859 -1.705 3.789
2.523 4.239 4.067
-0.931 -0.660 6.290
Ti Rb Br
1 2 1
Direct
0.000 0.000 0.000
0.750 0.750 0.750
0.250 0.250 0.250
0.500 0.500 0.500
```

## Properties
E above lowest polymorph in meV per atom: 40
Fermi-level density of states in states/eV/f.u.: 12.11

=====

# 3
An optimized crystal structure of Rb2Ti3Br8, computed with GGA-PBE.

```
Rb2Ti3Br8
1.0
0.067 -7.563 -1.344
5.888 -0.673 4.076
-6.451 2.836 5.673
Ti Rb Br
3 2 8
Direct
0.769 0.000 0.000
0.231 0.000 0.000
0.000 0.500 0.000
0.738 0.685 0.475
0.262 0.315 0.525
0.100 0.882 0.200
0.853 0.378 0.181
0.328 0.378 0.181
0.147 0.622 0.819
0.401 0.051 0.802
0.900 0.118 0.800
0.599 0.949 0.198
0.672 0.622 0.819
```

## Properties
Fermi-level density of states in states/eV/f.u.: 11.12

=====

# 4
An optimized crystal structure of RbTiTl2Br6, computed with GGA-PBE.

```
RbTiTl2Br6
1.0
8.047 0.002 -0.001
4.025 6.969 0.000
4.023 2.324 6.843
Br Ti Tl Rb
6 1 2 1
Direct
0.423 0.651 0.793
0.217 0.006 0.237
0.540 0.218 0.236
0.006 0.540 0.236
0.651 0.132 0.794
0.133 0.422 0.794
0.325 0.325 0.025
0.020 0.020 0.941
0.530 0.530 0.410
0.817 0.817 0.550
```

## Properties
Fermi-level density of states in states/eV/f.u.: 6.77

=====

# 5
An optimized crystal structure of RbTiVBr6, computed with GGA-PBE.

```
RbTiVBr6
1.0
6.829 0.000 0.000
-3.414 5.914 0.000
0.000 0.000 15.530
Br Rb Ti V
12 2 2 2
Direct
0.373 0.373 0.346
0.373 0.373 0.846
0.373 0.000 0.654
0.000 0.373 0.654
0.373 0.000 0.154
0.000 0.627 0.846
0.627 0.000 0.846
0.000 0.627 0.346
0.627 0.627 0.654
0.000 0.373 0.154
0.627 0.627 0.154
0.627 0.000 0.346
0.000 0.000 0.000
0.000 0.000 0.500
0.667 0.333 0.250
0.333 0.667 0.750
0.333 0.667 0.250
0.667 0.333 0.750
```

## Properties
Fermi-level density of states in states/eV/f.u.: 7.77

=====

# 6
An optimized crystal structure of Rb2TiZnBr6, computed with GGA-PBE.

```
Rb2TiZnBr6
1.0
-2.415 -7.142 -1.233
1.153 -1.661 7.367
-5.702 -2.883 4.203
Br Ti Rb Zn
6 1 2 1
Direct
0.255 0.745 0.000
0.255 0.255 0.000
0.745 0.745 0.000
0.256 0.256 0.489
0.744 0.744 0.511
0.745 0.255 0.000
0.500 0.500 0.000
0.250 0.750 0.500
0.750 0.250 0.500
0.000 0.000 0.000
```

## Properties
Fermi-level density of states in states/eV/f.u.: 16.18

=====

# 7
An optimized crystal structure of RbZrTi2Br, computed with GGA-PBE.

```
RbZrTi2Br
1.0
-3.931 2.292 -1.590
-0.770 -4.056 -3.944
-2.713 -2.501 3.102
Ti Br Rb Zr
2 1 1 1
Direct
0.500 0.000 0.000
0.000 0.000 0.500
0.000 0.000 0.000
0.000 0.500 0.000
0.500 0.500 0.500
```

## Properties
Fermi-level density of states in states/eV/f.u.: 7.28

=====

# 8
An optimized crystal structure of Rb2TlBr7, computed with GGA-PBE.

```
Rb2TlBr7
1.0
7.931 0.000 0.000
0.000 7.931 0.000
3.965 3.965 6.283
Rb Br Tl
2 7 1
Direct
0.750 0.250 0.500
0.250 0.750 0.500
0.775 0.775 0.450
0.751 0.751 0.000
0.751 0.249 0.000
0.249 0.249 0.000
0.225 0.225 0.550
0.500 0.500 0.000
0.249 0.751 0.000
0.000 0.000 0.000
```

## Properties
Fermi-level density of states in states/eV/f.u.: 6.23

=====

# 9
An optimized crystal structure of RbTl5Br7, computed with GGA-PBE.

```
RbTl5Br7
1.0
4.710 0.000 0.000
-2.355 7.682 0.016
0.000 -0.009 27.555
Br Rb Tl
14 2 10
Direct
0.638 0.275 0.461
0.817 0.633 0.676
0.911 0.823 0.388
0.183 0.367 0.324
0.531 0.063 0.750
0.638 0.275 0.039
0.362 0.725 0.539
0.183 0.365 0.176
0.090 0.180 0.888
0.818 0.636 0.824
0.089 0.178 0.612
0.363 0.726 0.961
0.470 0.940 0.250
0.911 0.821 0.113
0.199 0.399 0.750
0.802 0.603 0.250
0.000 0.000 0.500
0.722 0.444 0.925
0.000 0.001 0.000
0.279 0.558 0.424
0.547 0.094 0.351
0.455 0.909 0.851
0.279 0.558 0.075
0.454 0.908 0.649
0.721 0.442 0.575
0.546 0.092 0.149
```

## Properties
Fermi-level density of states in states/eV/f.u.: 7.32

=====

# 10
An optimized crystal structure of RbTl2Br4, computed with GGA-PBE.

```
RbTl2Br4
1.0
7.531 0.000 0.000
0.000 7.531 0.000
0.000 0.000 7.025
Rb Br Tl
1 4 2
Direct
0.000 0.000 0.000
0.248 0.248 0.303
0.752 0.752 0.303
0.752 0.248 0.697
0.248 0.752 0.697
0.000 0.500 0.500
0.500 0.000 0.500
```

## Properties
E above lowest polymorph in meV per atom: 67
Fermi-level density of states in states/eV/f.u.: 2.97

=====

# 11
An optimized crystal structure of RbTlBr4, computed with GGA-PBE.

```
RbTlBr4
1.0
-2.352 -6.813 6.382
9.899 2.359 2.356
-3.426 7.570 6.818
Br Rb Tl
16 4 4
Direct
0.906 0.722 0.004
0.094 0.278 0.996
0.334 0.988 0.104
0.767 0.385 0.765
0.482 0.398 0.148
0.666 0.012 0.896
0.518 0.602 0.852
0.406 0.222 0.496
0.018 0.102 0.648
0.594 0.778 0.504
0.834 0.488 0.396
0.233 0.615 0.235
0.982 0.898 0.352
0.166 0.512 0.604
0.733 0.115 0.265
0.267 0.885 0.735
0.094 0.277 0.339
0.906 0.723 0.661
0.594 0.777 0.161
0.406 0.223 0.839
0.391 0.698 0.669
0.109 0.802 0.169
0.609 0.302 0.331
0.891 0.198 0.831
```

## Properties
Fermi-level density of states in states/eV/f.u.: 0.00

=====

# 12
An optimized crystal structure of Rb2TlBr3, computed with GGA-PBE.

```
Rb2TlBr3
1.0
-1.891 -4.462 0.725
6.304 -2.767 -0.581
-1.209 4.367 7.157
Rb Br Tl
2 3 1
Direct
0.833 0.833 0.167
0.167 0.167 0.833
0.500 0.000 0.500
0.162 0.662 0.824
0.838 0.338 0.176
0.500 0.500 0.500
```

## Properties
Fermi-level density of states in states/eV/f.u.: 0.00

=====

Number 1: calculated total energy -33.29 eV/cell, magnetization 0.285 μB per atom, formation energy (no corrections) -127.0 kJ/mol of atoms. Number 2: calculated total energy -10.54 eV/cell, magnetization 0.750 μB per atom, formation energy (no corrections) 23.3 kJ/mol of atoms. Number 3: calculated total energy -54.82 eV/cell, magnetization 0.462 μB per atom, formation energy (no corrections) -117.4 kJ/mol of atoms. Number 4: calculated total energy -35.17 eV/cell, magnetization 0.100 μB per atom, formation energy (no corrections) -111.3 kJ/mol of atoms. Number 5: calculated total energy -77.48 eV/cell, magnetization 0.444 μB per atom, formation energy (no corrections) -114.9 kJ/mol of atoms. Number 6: calculated total energy -33.09 eV/cell, magnetization 0.198 μB per atom, formation energy (no corrections) -115.2 kJ/mol of atoms. Number 7: calculated total energy -22.06 eV/cell, magnetization 0.002 μB per atom, formation energy (no corrections) 94.9 kJ/mol of atoms. Number 8: calculated total energy -23.92 eV/cell, magnetization 0.000 μB per atom, formation energy (no corrections) -76.3 kJ/mol of atoms. Number 9: calculated total energy -72.85 eV/cell, magnetization 0.000 μB per atom, formation energy (no corrections) -88.4 kJ/mol of atoms. Number 10: calculated total energy -18.68 eV/cell, magnetization 0.000 μB per atom, formation energy (no corrections) -86.7 kJ/mol of atoms. Number 11: calculated total energy -62.69 eV/cell, magnetization 0.000 μB per atom, formation energy (no corrections) -90.8 kJ/mol of atoms. Number 12: calculated total energy -18.05 eV/cell, magnetization 0.000 μB per atom, formation energy (no corrections) -140.4 kJ/mol of atoms.